Below is a relaxed CaCuAu3 crystal, with properties calculated at the PBE-GGA level.

Summary:
**Energy of formation from the pure elements**: -372 meV/atom
**Energy relative to the lowest polymorph listed for this composition**: 0 meV/atom

Lattice parameters (Å, degrees): 4.1271 4.1283 6.7222 72.15 72.16 90.01
Element x y z (fractional)
1 Ca 0.4122 0.2158 0.8808
2 Cu 0.0099 0.8131 0.6862
3 Au 0.6404 0.9438 0.4248
4 Au 0.1403 0.4439 0.4249
5 Au 0.8050 0.6085 0.0944